# 1
Here is an optimized crystal structure of B2C from Alexandria via LeMat-Bulk. Energies are from GGA-PBE.

a = 6.364 Å, b = 6.364 Å, c = 4.795 Å
α = 94.43°, β = 94.43°, γ = 24.88°
Fractional coordinates of all 12 atoms:
B 0.000 0.000 0.000
B 0.205 0.205 0.753
B 0.284 0.284 0.130
B 0.343 0.343 0.776
B 0.500 0.500 0.490
B 0.639 0.639 0.565
B 0.646 0.646 0.218
B 0.769 0.769 0.582
C 0.151 0.151 0.065
C 0.465 0.465 0.832
C 0.834 0.834 0.272
C 0.953 0.953 0.315

Values from the calculation:
Energy of formation from the pure elements (eV/atom): 0.299
Space group: No. 8

***

# 2
Here is an optimized crystal structure of Co2HgBi2 from Alexandria via LeMat-Bulk. Energies are from GGA-PBE.

a = 3.440 Å, b = 3.440 Å, c = 20.074 Å
α = 90.00°, β = 90.00°, γ = 90.00°
Fractional coordinates of all 10 atoms:
Co 0.000 0.500 0.250
Co 0.000 0.500 0.750
Co 0.500 0.000 0.250
Co 0.500 0.000 0.750
Hg 0.000 0.000 0.000
Hg 0.500 0.500 0.500
Bi 0.000 0.000 0.358
Bi 0.000 0.000 0.642
Bi 0.500 0.500 0.142
Bi 0.500 0.500 0.858

Values from the calculation:
Energy of formation from the pure elements (eV/atom): 0.230
Space group: No. 139

***

# 3
Here is an optimized crystal structure of U5PC4 from Alexandria via LeMat-Bulk. Energies are from GGA-PBE.

a = 6.183 Å, b = 6.183 Å, c = 6.183 Å
α = 99.96°, β = 99.96°, γ = 130.86°
Fractional coordinates of all 10 atoms:
U 0.000 0.000 0.000
U 0.184 0.390 0.574
U 0.390 0.816 0.206
U 0.610 0.184 0.794
U 0.816 0.610 0.426
P 0.500 0.500 0.000
C 0.106 0.701 0.807
C 0.299 0.106 0.405
C 0.701 0.894 0.595
C 0.894 0.299 0.193

Values from the calculation:
Energy of formation from the pure elements (eV/atom): -0.192
Space group: No. 87

***

# 4
Here is an optimized crystal structure of Nd3Ga8Ni3 from Alexandria via LeMat-Bulk. Energies are from GGA-PBE.

a = 8.202 Å, b = 8.202 Å, c = 8.691 Å
α = 120.98°, β = 120.98°, γ = 31.24°
Fractional coordinates of all 14 atoms:
Nd 0.000 0.000 0.000
Nd 0.288 0.288 0.303
Nd 0.712 0.712 0.697
Ga 0.131 0.131 0.424
Ga 0.155 0.155 0.874
Ga 0.353 0.353 0.733
Ga 0.489 0.489 0.317
Ga 0.511 0.511 0.683
Ga 0.647 0.647 0.267
Ga 0.845 0.845 0.126
Ga 0.869 0.869 0.576
Ni 0.000 0.000 0.500
Ni 0.345 0.345 0.001
Ni 0.655 0.655 0.999

Values from the calculation:
Energy of formation from the pure elements (eV/atom): -0.543
Space group: No. 12

***

# 5
Here is an optimized crystal structure of TaBiRuAu2 from Alexandria via LeMat-Bulk. Energies are from GGA-PBE.

a = 5.081 Å, b = 5.081 Å, c = 5.403 Å
α = 90.00°, β = 90.00°, γ = 90.00°
Fractional coordinates of all 5 atoms:
Ta 0.000 0.000 0.000
Bi 0.000 0.000 0.500
Ru 0.500 0.500 0.500
Au 0.000 0.500 0.000
Au 0.500 0.000 0.000

Values from the calculation:
Energy of formation from the pure elements (eV/atom): 1.501
Space group: No. 123

***

# 6
Here is an optimized crystal structure of Sc4ZnCoRh2 from Alexandria via LeMat-Bulk. Energies are from GGA-PBE.

a = 7.928 Å, b = 7.928 Å, c = 7.928 Å
α = 33.52°, β = 33.52°, γ = 33.52°
Fractional coordinates of all 8 atoms:
Sc 0.120 0.120 0.120
Sc 0.371 0.371 0.371
Sc 0.629 0.629 0.629
Sc 0.880 0.880 0.880
Zn 0.500 0.500 0.500
Co 0.000 0.000 0.000
Rh 0.250 0.250 0.250
Rh 0.750 0.750 0.750

Values from the calculation:
Energy of formation from the pure elements (eV/atom): -0.676
Space group: No. 166

***

# 7
Here is an optimized crystal structure of TlPb from Alexandria via LeMat-Bulk. Energies are from GGA-PBE.

a = 11.076 Å, b = 3.345 Å, c = 6.969 Å
α = 90.00°, β = 90.35°, γ = 90.00°
Fractional coordinates of all 8 atoms:
Tl 0.133 0.000 0.123
Tl 0.367 0.500 0.877
Tl 0.633 0.500 0.123
Tl 0.867 0.000 0.877
Pb 0.137 0.000 0.623
Pb 0.363 0.500 0.377
Pb 0.637 0.500 0.623
Pb 0.863 0.000 0.377

Values from the calculation:
Energy of formation from the pure elements (eV/atom): 0.041
Space group: No. 12

***

# 8
Here is an optimized crystal structure of Ce7GaTc2 from Alexandria via LeMat-Bulk. Energies are from GGA-PBE.

a = 7.922 Å, b = 7.922 Å, c = 4.981 Å
α = 90.00°, β = 90.00°, γ = 111.53°
Fractional coordinates of all 10 atoms:
Ce 0.000 0.000 0.000
Ce 0.222 0.439 0.000
Ce 0.228 0.772 0.500
Ce 0.439 0.222 0.000
Ce 0.561 0.778 0.000
Ce 0.772 0.228 0.500
Ce 0.778 0.561 0.000
Ga 0.500 0.500 0.500
Tc 0.187 0.813 0.000
Tc 0.813 0.187 0.000

Values from the calculation:
Energy of formation from the pure elements (eV/atom): 0.054
Space group: No. 65

***

Question: What is the energy of formation from the pure elements in the third record?
Answer: -0.192 eV/atom

***

Copy entry 2 word for word.
Here is an optimized crystal structure of Co2HgBi2 from Alexandria via LeMat-Bulk. Energies are from GGA-PBE.

a = 3.440 Å, b = 3.440 Å, c = 20.074 Å
α = 90.00°, β = 90.00°, γ = 90.00°
Fractional coordinates of all 10 atoms:
Co 0.000 0.500 0.250
Co 0.000 0.500 0.750
Co 0.500 0.000 0.250
Co 0.500 0.000 0.750
Hg 0.000 0.000 0.000
Hg 0.500 0.500 0.500
Bi 0.000 0.000 0.358
Bi 0.000 0.000 0.642
Bi 0.500 0.500 0.142
Bi 0.500 0.500 0.858

Values from the calculation:
Energy of formation from the pure elements (eV/atom): 0.230
Space group: No. 139